Zr2TlRhAu | GGA-PBE | relaxed

Output
magnetic moment	0.0	μB/f.u.
formation enthalpy at 0 K	189	meV per atom

Cell: 4.9247 5.1510 4.9247 Å, 90.00 90.00 90.00°
With the nearest neighbours (Å) after each atom.
Fractional coordinates of all 5 atoms:
Zr: 0.5000 0.0000 0.0000  2 Rh 2.46
Zr: 0.0000 0.0000 0.5000  2 Rh 2.46
Tl: 0.5000 0.5000 0.5000  4 Au 3.48, 8 Zr 3.56
Rh: 0.0000 0.0000 0.0000  4 Zr 2.46, 2 Au 2.58
Au: 0.0000 0.5000 0.0000  2 Rh 2.58


Tm6Rh2Au | GGA-PBE | relaxed

Output
magnetic moment	0.0	μB/f.u.
formation enthalpy at 0 K	-669	meV per atom

Cell: 8.2674 8.2674 8.2674 Å, 104.25 112.48 111.81°
With the nearest neighbours (Å) after each atom.
Fractional coordinates of all 18 atoms:
Tm: 0.1928 0.2435 0.4362  2 Rh 2.78-3.09, 1 Au 3.04
Tm: 0.3055 0.6356 0.3301  3 Rh 2.69-2.93
Tm: 0.3055 0.9754 0.6699  3 Rh 2.69-2.93
Tm: 0.5388 0.7188 0.8200  3 Rh 2.94-2.96, 1 Au 3.09
Tm: 0.6945 0.0246 0.3301  3 Rh 2.69-2.93
Tm: 0.8072 0.2435 0.0507  2 Rh 2.78-3.09, 1 Au 3.04
Tm: 0.1012 0.2812 0.8200  3 Rh 2.94-2.96, 1 Au 3.09
Tm: 0.8988 0.7188 0.1800  3 Rh 2.94-2.96, 1 Au 3.09
Tm: 0.1928 0.7565 0.9493  2 Rh 2.78-3.09, 1 Au 3.04
Tm: 0.6945 0.3644 0.6699  3 Rh 2.69-2.93
Tm: 0.4612 0.2812 0.1800  3 Rh 2.94-2.96, 1 Au 3.09
Tm: 0.8072 0.7565 0.5638  2 Rh 2.78-3.09, 1 Au 3.04
Rh: 0.3325 0.0000 0.3325  8 Tm 2.78-2.96, 1 Au 3.06, 1 Rh 3.08
Rh: 0.6675 0.0000 0.6675  8 Tm 2.78-2.96, 1 Au 3.06, 1 Rh 3.08
Rh: 0.5000 0.6328 0.1328  6 Tm 2.69-2.94, 1 Rh 2.70
Rh: 0.5000 0.3672 0.8672  6 Tm 2.69-2.94, 1 Rh 2.70
Au: 0.0000 0.5000 0.5000  8 Tm 3.15-3.32
Au: 0.0000 0.0000 0.0000  8 Tm 3.04-3.09, 2 Rh 3.06


Tm4RhAu3 | GGA-PBE | relaxed

Output
magnetic moment	0.0	μB/f.u.
formation enthalpy at 0 K	-903	meV per atom

Cell: 3.5002 3.5002 14.1193 Å, 90.00 90.00 90.00°
With the nearest neighbours (Å) after each atom.
Fractional coordinates of all 8 atoms:
Au: 0.5000 0.5000 0.2453  8 Tm 3.05-3.08
Au: 0.5000 0.5000 0.5000  8 Tm 3.07
Au: 0.5000 0.5000 0.7547  8 Tm 3.05-3.08
Tm: 0.0000 0.0000 0.8842  4 Rh 2.97, 4 Au 3.08, 1 Tm 3.27
Tm: 0.0000 0.0000 0.6290  8 Au 3.05-3.07
Tm: 0.0000 0.0000 0.1158  4 Rh 2.97, 4 Au 3.08, 1 Tm 3.27
Tm: 0.0000 0.0000 0.3710  8 Au 3.05-3.07
Rh: 0.5000 0.5000 0.0000  8 Tm 2.97


Tm3RhAu2 | GGA-PBE | relaxed

Output
magnetic moment	0.0	μB/f.u.
formation enthalpy at 0 K	-910	meV per atom

Cell: 3.4997 3.4997 10.4607 Å, 90.00 90.00 90.00°
With the nearest neighbours (Å) after each atom.
Fractional coordinates of all 6 atoms:
Rh: 0.5000 0.5000 0.5000  8 Tm 2.96
Tm: 0.0000 0.0000 0.3443  4 Rh 2.96, 4 Au 3.06, 1 Tm 3.26
Tm: 0.0000 0.0000 0.0000  8 Au 3.07
Tm: 0.0000 0.0000 0.6557  4 Rh 2.96, 4 Au 3.06, 1 Tm 3.26
Au: 0.5000 0.5000 0.8271  8 Tm 3.06-3.07, 1 Rh 3.42
Au: 0.5000 0.5000 0.1729  8 Tm 3.06-3.07, 1 Rh 3.42


Tm6RhAu5 | GGA-PBE | relaxed

Output
magnetic moment	0.0	μB/f.u.
formation enthalpy at 0 K	-892	meV per atom

Cell: 4.9742 7.0509 7.9010 Å, 90.00 71.58 90.00°
With the nearest neighbours (Å) after each atom.
Fractional coordinates of all 12 atoms:
Tm: 0.1633 0.2462 0.6735  1 Rh 3.00, 7 Au 3.03-3.11
Tm: 0.8367 0.2462 0.3265  1 Rh 3.00, 7 Au 3.03-3.11
Tm: 0.5000 0.2433 0.0000  6 Au 3.00-3.10, 2 Rh 3.02
Tm: 0.8367 0.7538 0.3265  1 Rh 3.00, 7 Au 3.03-3.11
Tm: 0.5000 0.7567 0.0000  6 Au 3.00-3.10, 2 Rh 3.02
Tm: 0.1633 0.7538 0.6735  1 Rh 3.00, 7 Au 3.03-3.11
Au: 0.6645 0.0000 0.6709  8 Tm 3.00-3.11
Au: 0.0000 0.5000 0.0000  8 Tm 3.03-3.08
Au: 0.6682 0.5000 0.6639  8 Tm 3.06-3.10
Au: 0.3318 0.5000 0.3361  8 Tm 3.06-3.10
Au: 0.3355 0.0000 0.3291  8 Tm 3.00-3.11
Rh: 0.0000 0.0000 0.0000  8 Tm 3.00-3.02


Tm7Rh2Au2 | GGA-PBE | relaxed

Output
magnetic moment	0.0	μB/f.u.
formation enthalpy at 0 K	-556	meV per atom

Cell: 6.5669 6.9415 6.5669 Å, 90.00 106.63 90.00°
With the nearest neighbours (Å) after each atom.
Fractional coordinates of all 11 atoms:
Au: 0.8032 0.5000 0.8032  6 Tm 2.94-3.15, 1 Au 3.09
Au: 0.1968 0.5000 0.1968  6 Tm 2.94-3.15, 1 Au 3.09
Tm: 0.5000 0.7481 0.5000  2 Rh 2.84, 2 Au 2.94
Tm: 0.0000 0.2582 0.5000  2 Rh 2.69
Tm: 0.5000 0.7418 0.0000  2 Rh 2.69
Tm: 0.0000 0.0000 0.0000  2 Rh 3.02
Tm: 0.5000 0.2582 0.0000  2 Rh 2.69
Tm: 0.0000 0.7418 0.5000  2 Rh 2.69
Tm: 0.5000 0.2519 0.5000  2 Rh 2.84, 2 Au 2.94
Rh: 0.7129 0.0000 0.2871  6 Tm 2.69-2.84
Rh: 0.2871 0.0000 0.7129  6 Tm 2.69-2.84


TmRhAu | GGA-PBE | relaxed

Output
magnetic moment	0.0	μB/f.u.
formation enthalpy at 0 K	-654	meV per atom

Cell: 4.3593 4.3474 9.3844 Å, 117.33 90.00 120.09°
With the nearest neighbours (Å) after each atom.
Fractional coordinates of all 6 atoms:
Au: 0.8975 0.7949 0.0958  3 Au 2.93-2.95, 4 Tm 2.94-3.05, 1 Rh 3.14
Au: 0.1025 0.2051 0.9042  3 Au 2.93-2.95, 4 Tm 2.94-3.05, 1 Rh 3.14
Rh: 0.1602 0.3203 0.4902  3 Rh 2.51-2.52
Rh: 0.8398 0.6797 0.5098  3 Rh 2.51-2.52
Tm: 0.6405 0.2810 0.7119  4 Au 2.94-3.05, 6 Rh 2.98-3.07
Tm: 0.3595 0.7190 0.2881  4 Au 2.94-3.05, 6 Rh 2.98-3.07


Tm7Rh2Au2 | GGA-PBE | relaxed

Output
magnetic moment	0.0	μB/f.u.
formation enthalpy at 0 K	-705	meV per atom

Cell: 3.7522 9.1895 9.1895 Å, 61.38 78.22 78.22°
With the nearest neighbours (Å) after each atom.
Fractional coordinates of all 11 atoms:
Tm: 0.6186 0.4807 0.2820  2 Rh 2.82, 3 Au 3.00-3.07
Tm: 0.8583 0.4015 0.8820  2 Rh 2.87, 2 Au 2.98
Tm: 0.5000 0.0203 0.9797  3 Au 3.00-3.04
Tm: 0.1848 0.7145 0.9159  3 Rh 2.82-3.00, 1 Au 3.08
Tm: 0.1417 0.1180 0.5985  2 Rh 2.87, 2 Au 2.98
Tm: 0.8152 0.0841 0.2855  3 Rh 2.82-3.00, 1 Au 3.08
Tm: 0.3814 0.7180 0.5193  2 Rh 2.82, 3 Au 3.00-3.07
Rh: 0.7444 0.8564 0.6549  7 Tm 2.82-3.00
Rh: 0.2556 0.3451 0.1436  7 Tm 2.82-3.00
Au: 0.0000 0.7708 0.2292  8 Tm 3.00-3.08
Au: 0.5000 0.3446 0.6554  7 Tm 2.98-3.04


TmRhAu | GGA-PBE | relaxed

Output
magnetic moment	0.0	μB/f.u.
formation enthalpy at 0 K	-682	meV per atom

Cell: 3.5157 3.5157 5.2559 Å, 109.54 109.54 90.00°
With the nearest neighbours (Å) after each atom.
Fractional coordinates of all 3 atoms:
Rh: 0.9552 0.9552 0.9104  5 Tm 2.87-3.20, 5 Au 2.94-3.06
Au: 0.2854 0.2854 0.5709  5 Rh 2.94-3.06, 5 Tm 2.97-3.00
Tm: 0.6094 0.6094 0.2187  5 Rh 2.87-3.20, 5 Au 2.97-3.00


Tm5Rh4Au | GGA-PBE | relaxed

Output
magnetic moment	0.0	μB/f.u.
formation enthalpy at 0 K	-945	meV per atom

Cell: 3.3891 3.3891 17.3356 Å, 90.00 90.00 90.00°
With the nearest neighbours (Å) after each atom.
Fractional coordinates of all 10 atoms:
Au: 0.0000 0.0000 0.0000  8 Tm 3.07, 4 Au 3.39
Tm: 0.5000 0.5000 0.5000  8 Rh 2.93
Tm: 0.5000 0.5000 0.8897  4 Rh 2.92, 4 Au 3.07
Tm: 0.5000 0.5000 0.6952  8 Rh 2.94
Tm: 0.5000 0.5000 0.3048  8 Rh 2.94
Tm: 0.5000 0.5000 0.1103  4 Rh 2.92, 4 Au 3.07
Rh: 0.0000 0.0000 0.7936  8 Tm 2.92-2.94
Rh: 0.0000 0.0000 0.4025  8 Tm 2.93-2.94
Rh: 0.0000 0.0000 0.2064  8 Tm 2.92-2.94
Rh: 0.0000 0.0000 0.5975  8 Tm 2.93-2.94


TmRhAu | GGA-PBE | relaxed

Output
magnetic moment	0.0	μB/f.u.
formation enthalpy at 0 K	-730	meV per atom

Cell: 4.8335 5.6249 4.7942 Å, 90.00 120.27 90.00°
With the nearest neighbours (Å) after each atom.
Fractional coordinates of all 6 atoms:
Au: 0.0000 0.5000 0.5000  2 Au 2.81, 6 Rh 3.07-3.13, 6 Tm 3.11
Au: 0.0000 0.0000 0.5000  2 Au 2.81, 6 Rh 3.07-3.13, 6 Tm 3.11
Rh: 0.6701 0.2500 0.8402  5 Tm 2.77-2.81, 2 Au 3.07
Rh: 0.3299 0.7500 0.1598  5 Tm 2.77-2.81, 2 Au 3.07
Tm: 0.6654 0.7500 0.8307  5 Rh 2.77-2.81
Tm: 0.3346 0.2500 0.1693  5 Rh 2.77-2.81


TmRhAu | GGA-PBE | relaxed

Output
magnetic moment	0.0	μB/f.u.
formation enthalpy at 0 K	-601	meV per atom

Cell: 3.3445 4.5584 4.5584 Å, 120.00 90.00 90.00°
With the nearest neighbours (Å) after each atom.
Fractional coordinates of all 3 atoms:
Au: 0.1672 0.0000 0.0000  3 Rh 2.63
Rh: 0.1662 0.3333 0.6667  3 Au 2.63
Tm: 0.6666 0.6667 0.3333  6 Au 3.12, 6 Rh 3.12, 2 Tm 3.34


Tm4Rh2Au | GGA-PBE | relaxed

Output
magnetic moment	0.0	μB/f.u.
formation enthalpy at 0 K	-790	meV per atom

Cell: 4.8289 4.8289 8.3277 Å, 73.15 73.15 60.00°
With the nearest neighbours (Å) after each atom.
Fractional coordinates of all 7 atoms:
Tm: 0.6210 0.6210 0.1371  4 Rh 2.92-3.03, 3 Au 2.99
Tm: 0.1280 0.1280 0.6160  4 Rh 2.88-2.98, 1 Au 3.01
Tm: 0.3790 0.3790 0.8629  4 Rh 2.92-3.03, 3 Au 2.99
Tm: 0.8720 0.8720 0.3840  4 Rh 2.88-2.98, 1 Au 3.01
Au: 0.0000 0.0000 0.0000  8 Tm 2.99-3.01
Rh: 0.7496 0.7496 0.7513  8 Tm 2.88-3.03
Rh: 0.2504 0.2504 0.2487  8 Tm 2.88-3.03


Tm8RhAu2 | GGA-PBE | relaxed

Output
magnetic moment	0.0	μB/f.u.
formation enthalpy at 0 K	-518	meV per atom

Cell: 5.0619 6.7038 8.9676 Å, 105.88 106.39 90.00°
With the nearest neighbours (Å) after each atom.
Fractional coordinates of all 11 atoms:
Au: 0.8137 0.2790 0.6274  5 Tm 2.83-3.12
Au: 0.1863 0.7210 0.3726  5 Tm 2.83-3.12
Rh: 0.5000 0.0000 0.0000  8 Tm 2.84-3.01
Tm: 0.7983 0.6880 0.5967  1 Au 2.83
Tm: 0.5903 0.4375 0.1805  1 Rh 2.90
Tm: 0.6607 0.9675 0.3214  1 Rh 2.84, 3 Au 2.86-3.12
Tm: 0.0289 0.7874 0.0577  1 Au 2.87, 2 Rh 3.01
Tm: 0.2017 0.3120 0.4033  1 Au 2.83
Tm: 0.3393 0.0325 0.6786  1 Rh 2.84, 3 Au 2.86-3.12
Tm: 0.4097 0.5625 0.8195  1 Rh 2.90
Tm: 0.9711 0.2126 0.9423  1 Au 2.87, 2 Rh 3.01


Tm5Rh2Au2 | GGA-PBE | relaxed

Output
magnetic moment	0.0	μB/f.u.
formation enthalpy at 0 K	-852	meV per atom

Cell: 7.4668 7.3380 8.3952 Å, 115.91 90.00 90.00°
With the nearest neighbours (Å) after each atom.
Fractional coordinates of all 18 atoms:
Au: 0.0000 0.2073 0.4146  7 Tm 2.97-3.13
Au: 0.0000 0.7927 0.5854  7 Tm 2.97-3.13
Au: 0.5000 0.2927 0.5854  7 Tm 2.97-3.13
Au: 0.5000 0.7073 0.4146  7 Tm 2.97-3.13
Tm: 0.1698 0.4600 0.2598  3 Rh 2.84-3.01, 3 Au 2.97-3.03
Tm: 0.3302 0.9600 0.2598  3 Rh 2.84-3.01, 3 Au 2.97-3.03
Tm: 0.8302 0.5400 0.7402  3 Rh 2.84-3.01, 3 Au 2.97-3.03
Tm: 0.3302 0.7002 0.7402  3 Rh 2.84-3.01, 3 Au 2.97-3.03
Tm: 0.6698 0.2998 0.2598  3 Rh 2.84-3.01, 3 Au 2.97-3.03
Tm: 0.1698 0.2002 0.7402  3 Rh 2.84-3.01, 3 Au 2.97-3.03
Tm: 0.5000 0.5000 0.0000  4 Rh 2.87-2.90, 2 Au 3.13
Tm: 0.0000 0.0000 0.0000  4 Rh 2.87-2.90, 2 Au 3.13
Tm: 0.8302 0.7998 0.2598  3 Rh 2.84-3.01, 3 Au 2.97-3.03
Tm: 0.6698 0.0400 0.7402  3 Rh 2.84-3.01, 3 Au 2.97-3.03
Rh: 0.1343 0.6335 0.0000  1 Rh 2.80, 8 Tm 2.84-3.01
Rh: 0.6343 0.8665 0.0000  1 Rh 2.80, 8 Tm 2.84-3.01
Rh: 0.3657 0.1335 0.0000  1 Rh 2.80, 8 Tm 2.84-3.01
Rh: 0.8657 0.3665 0.0000  1 Rh 2.80, 8 Tm 2.84-3.01


Tm2Rh2Au | GGA-PBE | relaxed

Output
magnetic moment	0.0	μB/f.u.
formation enthalpy at 0 K	-857	meV per atom

Cell: 3.7315 7.2751 7.2751 Å, 90.00 90.00 90.00°
With the nearest neighbours (Å) after each atom.
Fractional coordinates of all 10 atoms:
Tm: 0.5000 0.6704 0.8296  6 Rh 2.75-2.90
Tm: 0.5000 0.8296 0.3296  6 Rh 2.75-2.90
Tm: 0.5000 0.1704 0.6704  6 Rh 2.75-2.90
Tm: 0.5000 0.3296 0.1704  6 Rh 2.75-2.90
Rh: 0.0000 0.3668 0.8668  1 Rh 2.74, 6 Tm 2.75-2.90, 2 Au 2.84
Rh: 0.0000 0.6332 0.1332  1 Rh 2.74, 6 Tm 2.75-2.90, 2 Au 2.84
Rh: 0.0000 0.8668 0.6332  1 Rh 2.74, 6 Tm 2.75-2.90, 2 Au 2.84
Rh: 0.0000 0.1332 0.3668  1 Rh 2.74, 6 Tm 2.75-2.90, 2 Au 2.84
Au: 0.0000 0.0000 0.0000  4 Rh 2.84
Au: 0.0000 0.5000 0.5000  4 Rh 2.84


Tm8RhAu2 | GGA-PBE | relaxed

Output
magnetic moment	0.0	μB/f.u.
formation enthalpy at 0 K	-401	meV per atom

Cell: 5.7795 8.0421 8.0421 Å, 119.87 102.31 102.31°
With the nearest neighbours (Å) after each atom.
Fractional coordinates of all 11 atoms:
Rh: 0.1406 0.0023 0.0023  6 Tm 2.73-3.02
Au: 0.5058 0.3087 0.7191  5 Tm 2.87-3.16
Au: 0.5058 0.7191 0.3087  5 Tm 2.87-3.16
Tm: 0.6060 0.1100 0.3465  2 Au 2.87-2.92, 1 Rh 3.02
Tm: 0.1864 0.3596 0.3596  1 Rh 2.78
Tm: 0.3472 0.8937 0.6541  2 Au 2.88-3.00, 1 Rh 3.08
Tm: 0.3472 0.6541 0.8937  2 Au 2.88-3.00, 1 Rh 3.08
Tm: 0.9847 0.8034 0.1913  1 Rh 2.84, 1 Au 3.16
Tm: 0.6060 0.3465 0.1100  2 Au 2.87-2.92, 1 Rh 3.02
Tm: 0.7852 0.6451 0.6451  1 Rh 2.73
Tm: 0.9847 0.1913 0.8034  1 Rh 2.84, 1 Au 3.16


Tm2RhAu2 | GGA-PBE | relaxed

Output
magnetic moment	0.0	μB/f.u.
formation enthalpy at 0 K	-758	meV per atom

Cell: 5.9446 6.1613 7.5874 Å, 113.96 113.06 90.00°
With the nearest neighbours (Å) after each atom.
Fractional coordinates of all 10 atoms:
Tm: 0.6457 0.3956 0.2913  2 Rh 2.81, 4 Au 2.89-2.99
Tm: 0.3543 0.6044 0.7087  2 Rh 2.81, 4 Au 2.89-2.99
Tm: 0.8543 0.1042 0.7087  2 Rh 2.81, 4 Au 2.89-2.99
Tm: 0.1457 0.8958 0.2913  2 Rh 2.81, 4 Au 2.89-2.99
Au: 0.6242 0.9062 0.2485  2 Rh 2.77, 4 Tm 2.89-2.99
Au: 0.1242 0.3423 0.2485  2 Rh 2.77, 4 Tm 2.89-2.99
Au: 0.8758 0.6577 0.7515  2 Rh 2.77, 4 Tm 2.89-2.99
Au: 0.3758 0.0938 0.7515  2 Rh 2.77, 4 Tm 2.89-2.99
Rh: 0.2500 0.5000 0.0000  4 Au 2.77, 4 Tm 2.81, 2 Rh 2.97
Rh: 0.7500 0.5000 0.0000  4 Au 2.77, 4 Tm 2.81, 2 Rh 2.97


Tm2RhAu6 | GGA-PBE | relaxed

Output
magnetic moment	0.0	μB/f.u.
formation enthalpy at 0 K	-609	meV per atom

Cell: 3.9672 6.9519 6.9454 Å, 110.61 106.59 90.00°
With the nearest neighbours (Å) after each atom.
Fractional coordinates of all 9 atoms:
Au: 0.7278 0.8340 0.4556  7 Au 2.91-3.15, 3 Tm 2.97-3.03, 1 Rh 3.07
Au: 0.2722 0.1660 0.5444  7 Au 2.91-3.15, 3 Tm 2.97-3.03, 1 Rh 3.07
Au: 0.1674 0.5057 0.3348  8 Au 2.91-3.15, 2 Tm 2.95-2.98, 2 Rh 2.97
Au: 0.3960 0.8317 0.7919  6 Au 2.90-3.05, 4 Tm 2.98-3.09, 1 Rh 3.10
Au: 0.8326 0.4943 0.6652  8 Au 2.91-3.15, 2 Tm 2.95-2.98, 2 Rh 2.97
Au: 0.6040 0.1683 0.2081  6 Au 2.90-3.05, 4 Tm 2.98-3.09, 1 Rh 3.10
Tm: 0.0573 0.8048 0.1145  2 Rh 2.80, 9 Au 2.95-3.09
Tm: 0.9427 0.1952 0.8855  2 Rh 2.80, 9 Au 2.95-3.09
Rh: 0.5000 0.5000 0.0000  4 Tm 2.80, 8 Au 2.97-3.10


Tm5RhAu2 | GGA-PBE | relaxed

Output
magnetic moment	0.0	μB/f.u.
formation enthalpy at 0 K	-738	meV per atom

Cell: 4.7280 7.1195 11.4906 Å, 90.00 90.00 90.00°
With the nearest neighbours (Å) after each atom.
Fractional coordinates of all 16 atoms:
Tm: 0.0000 0.6523 0.7082  1 Rh 2.63
Tm: 0.5000 0.8202 0.9128  2 Rh 2.87, 2 Au 2.92-3.00
Tm: 0.0000 0.5000 0.0000  4 Au 3.04
Tm: 0.0000 0.1523 0.7918  1 Rh 2.63
Tm: 0.5000 0.6798 0.4128  2 Rh 2.87, 2 Au 2.92-3.00
Tm: 0.5000 0.3202 0.5872  2 Rh 2.87, 2 Au 2.92-3.00
Tm: 0.0000 0.8477 0.2082  1 Rh 2.63
Tm: 0.5000 0.1798 0.0872  2 Rh 2.87, 2 Au 2.92-3.00
Tm: 0.0000 0.0000 0.5000  4 Au 3.04
Tm: 0.0000 0.3477 0.2918  1 Rh 2.63
Rh: 0.0000 0.5000 0.5000  6 Tm 2.63-2.87
Rh: 0.0000 0.0000 0.0000  6 Tm 2.63-2.87
Au: 0.5000 0.9280 0.6607  8 Tm 2.92-3.23
Au: 0.5000 0.4280 0.8393  8 Tm 2.92-3.23
Au: 0.5000 0.0720 0.3393  8 Tm 2.92-3.23
Au: 0.5000 0.5720 0.1607  8 Tm 2.92-3.23